Record 1
# Hf2CdHPd, relaxed, DFT GGA-PBE
data_Hf2CdHPd
_cell_length_a 4.3865
_cell_length_b 4.3865
_cell_length_c 4.1464
_cell_angle_alpha 90.00
_cell_angle_beta 90.00
_cell_angle_gamma 90.00
_space_group_name_H-M_alt 'P 1'
_space_group_IT_number 1
_space_group_name_Hall 'P 1'
loop_
_atom_site_label
_atom_site_type_symbol
_atom_site_fract_x
_atom_site_fract_y
_atom_site_fract_z
Hf1 Hf 0.0000 0.5000 0.0000
Hf2 Hf 0.5000 0.0000 0.0000
Cd1 Cd 0.0000 0.0000 0.5000
H1 H 0.5000 0.5000 0.0000
Pd1 Pd 0.5000 0.5000 0.5000
# N(E_F), states/eV per atom: 0.934
# Crystal system: tetragonal
# Calculated total energy, eV per atom: -6.124
# Magnetization, μB/f.u.: 0.34



Record 2
# Hf2CdHRh, relaxed, DFT GGA-PBE
data_Hf2CdHRh
_cell_length_a 4.4589
_cell_length_b 4.4589
_cell_length_c 3.9330
_cell_angle_alpha 90.00
_cell_angle_beta 90.00
_cell_angle_gamma 90.00
_space_group_name_H-M_alt 'P 1'
_space_group_IT_number 1
_space_group_name_Hall 'P 1'
loop_
_atom_site_label
_atom_site_type_symbol
_atom_site_fract_x
_atom_site_fract_y
_atom_site_fract_z
Hf1 Hf 0.0000 0.5000 0.0000
Hf2 Hf 0.5000 0.0000 0.0000
Cd1 Cd 0.0000 0.0000 0.5000
H1 H 0.5000 0.5000 0.0000
Rh1 Rh 0.5000 0.5000 0.5000
# N(E_F), states/eV per atom: 0.743
# Crystal system: tetragonal
# Calculated total energy, eV per atom: -6.595
# Magnetization, μB/f.u.: 0.00